[1]
DFT (PBE) results for an optimized crystal structure of MnAg2Pb.

Values from the calculation:
ΔE_f: 0.263 eV/atom
Calculated total energy: -4.382 eV/atom
M_tot: 0.991 μB/atom

a b c (Å): 10.014 3.214 5.064
angles (deg): 90.00 101.85 90.00
Space group C2/m (No. 12)
Symmetry-distinct sites (fractional):
Mn 0.000 0.000 0.000 x2
Ag 0.237 0.500 0.227 x4
Pb 0.000 0.500 0.500 x2


[2]
DFT (PBE) results for an optimized crystal structure of MnAgPb2.

Values from the calculation:
ΔE_f: 0.306 eV/atom
E above lowest polymorph: 65 meV/atom
Calculated total energy: -4.554 eV/atom
M_tot: 1.014 μB/atom

a b c (Å): 3.2977 3.2977 31.3195
angles (deg): 90.00 90.00 120.00
Space group R3m (No. 160, hexagonal axes)
Symmetry-distinct sites (fractional):
Mn 0.0000 0.0000 0.0000 x3
Ag 0.0000 0.0000 0.2700 x3
Pb 0.0000 0.0000 0.5216 x3
Pb 0.0000 0.0000 0.7453 x3


[3]
DFT (PBE) results for an optimized crystal structure of MnAg2Pb.

Values from the calculation:
ΔE_f: 0.257 eV/atom
Calculated total energy: -4.388 eV/atom
M_tot: 0.973 μB/atom

a b c (Å): 4.153 4.153 4.561
angles (deg): 90.00 90.00 90.00
Space group P4/mmm (No. 123)
Symmetry-distinct sites (fractional):
Mn 0.000 0.000 0.000 x1
Ag 0.000 0.500 0.500 x2
Pb 0.500 0.500 0.000 x1


[4]
DFT (PBE) results for an optimized crystal structure of MnAg2Pb.

Values from the calculation:
ΔE_f: 0.303 eV/atom
Calculated total energy: -4.342 eV/atom
M_tot: 1.017 μB/atom

a b c (Å): 3.129 5.055 5.116
angles (deg): 90.00 93.34 90.00
Space group P2/m (No. 10)
Symmetry-distinct sites (fractional):
Mn 0.000 0.000 0.000 x1
Ag 0.235 0.500 0.767 x2
Pb 0.500 0.000 0.500 x1


[5]
DFT (PBE) results for an optimized crystal structure of MnAg2Pb.

Values from the calculation:
ΔE_f: 0.269 eV/atom
Calculated total energy: -4.376 eV/atom
M_tot: 0.952 μB/atom

a b c (Å): 6.798 6.798 6.798
angles (deg): 90.00 90.00 90.00
Space group F-43m (No. 216)
Symmetry-distinct sites (fractional):
Mn 0.000 0.000 0.000 x4
Ag 0.000 0.000 0.500 x4
Ag 0.250 0.250 0.250 x4
Pb 0.250 0.250 0.750 x4


[6]
DFT (PBE) results for an optimized crystal structure of MnAgPb2.

Values from the calculation:
ΔE_f: 0.440 eV/atom
E above lowest polymorph: 199 meV/atom
Calculated total energy: -4.420 eV/atom
M_tot: 1.000 μB/atom

a b c (Å): 4.655 4.655 18.952
angles (deg): 90.00 90.00 90.00
Space group I-42d (No. 122)
Symmetry-distinct sites (fractional):
Mn 0.000 0.000 0.000 x4
Ag 0.000 0.000 0.500 x4
Pb 0.242 0.250 0.125 x8


[7]
DFT (PBE) results for an optimized crystal structure of MnAgPb2.

Values from the calculation:
ΔE_f: 0.294 eV/atom
E above lowest polymorph: 54 meV/atom
Calculated total energy: -4.565 eV/atom
M_tot: 0.995 μB/atom

a b c (Å): 7.228 7.485 3.423
angles (deg): 90.00 90.00 90.00
Space group Cmmm (No. 65)
Symmetry-distinct sites (fractional):
Mn 0.000 0.000 0.000 x2
Ag 0.000 0.500 0.000 x2
Pb 0.250 0.250 0.500 x4


[8]
DFT (PBE) results for an optimized crystal structure of MnAg2Pb.

Values from the calculation:
ΔE_f: 0.292 eV/atom
Calculated total energy: -4.353 eV/atom
M_tot: 1.035 μB/atom

a b c (Å): 3.2098 3.2098 28.1406
angles (deg): 90.00 90.00 120.00
Space group R-3m (No. 166, hexagonal axes)
Symmetry-distinct sites (fractional):
Mn 0.0000 0.0000 0.0000 x3
Ag 0.0000 0.0000 0.2602 x6
Pb 0.0000 0.0000 0.5000 x3


[9]
DFT (PBE) results for an optimized crystal structure of MnAg2Pb.

Values from the calculation:
ΔE_f: 0.331 eV/atom
Calculated total energy: -4.314 eV/atom
M_tot: 1.033 μB/atom

a b c (Å): 5.947 8.240 3.323
angles (deg): 90.00 90.00 90.00
Space group Cmmm (No. 65)
Symmetry-distinct sites (fractional):
Mn 0.000 0.000 0.000 x2
Ag 0.250 0.250 0.500 x4
Pb 0.000 0.500 0.000 x2


[10]
DFT (PBE) results for an optimized crystal structure of MnAgPb2.

Values from the calculation:
ΔE_f: 0.289 eV/atom
E above lowest polymorph: 49 meV/atom
Calculated total energy: -4.570 eV/atom
M_tot: 0.979 μB/atom

a b c (Å): 3.414 4.960 11.105
angles (deg): 90.00 90.00 90.00
Space group Imm2 (No. 44)
Symmetry-distinct sites (fractional):
Mn 0.000 0.000 0.000 x2
Ag 0.000 0.500 0.299 x2
Pb 0.000 0.000 0.517 x2
Pb 0.000 0.500 0.735 x2


[11]
DFT (PBE) results for an optimized crystal structure of MnAgPb2.

Values from the calculation:
ΔE_f: 0.321 eV/atom
E above lowest polymorph: 80 meV/atom
Calculated total energy: -4.538 eV/atom
M_tot: 0.962 μB/atom

a b c (Å): 3.370 3.857 7.147
angles (deg): 90.00 90.61 90.00
Space group P2/m (No. 10)
Symmetry-distinct sites (fractional):
Mn 0.000 0.000 0.000 x1
Ag 0.000 0.000 0.500 x1
Pb 0.498 0.500 0.239 x2


[12]
DFT (PBE) results for an optimized crystal structure of MnAgPb2.

Values from the calculation:
ΔE_f: 0.764 eV/atom
E above lowest polymorph: 524 meV/atom
Calculated total energy: -4.095 eV/atom
M_tot: 0.000 μB/atom

a b c (Å): 6.961 6.961 6.961
angles (deg): 90.00 90.00 90.00
Space group Fm-3m (No. 225)
Symmetry-distinct sites (fractional):
Mn 0.000 0.000 0.000 x4
Ag 0.000 0.000 0.500 x4
Pb 0.250 0.250 0.250 x8


Question: What is the formula in the first record?
Answer: MnAg2Pb


Question: ΔE_f of number 11 (MnAgPb2)?
Answer: 0.321 eV/atom